Compound: InSe
Source: the Alexandria database
Functional: PBE
Structure: relaxed

Computed properties:
density	5.1	g cm⁻³
M_tot	0.0	μB per formula unit
raw formation energy	-0.1	eV/f.u.

a = 5.419 Å, b = 5.419 Å, c = 10.015 Å
α = 90.00°, β = 90.00°, γ = 120.00°
Atoms (fractional coordinates):
In 0.000 0.000 0.250
In 0.000 0.000 0.750
In 0.333 0.667 0.250
In 0.667 0.333 0.750
Se 0.333 0.667 0.630
Se 0.333 0.667 0.870
Se 0.667 0.333 0.130
Se 0.667 0.333 0.370



Compound: RbBPb
Source: the Alexandria database
Functional: PBE
Structure: relaxed

Computed properties:
density	5.4	g cm⁻³
ΔE_f	0.7270	eV/atom
M_tot	0.0	μB per formula unit

a = 7.942 Å, b = 4.141 Å, c = 11.333 Å
α = 90.00°, β = 90.00°, γ = 90.00°
Atoms (fractional coordinates):
Rb 0.009 0.250 0.208
Rb 0.491 0.750 0.708
Rb 0.509 0.250 0.292
Rb 0.991 0.750 0.792
B 0.151 0.250 0.571
B 0.349 0.750 0.071
B 0.651 0.250 0.929
B 0.849 0.750 0.429
Pb 0.170 0.750 0.466
Pb 0.330 0.250 0.966
Pb 0.670 0.750 0.034
Pb 0.830 0.250 0.534



Compound: SiRhN2
Source: the Alexandria database
Functional: PBE
Structure: relaxed

Computed properties:
density	5.8	g cm⁻³
M_tot	0.0	μB per formula unit
raw formation energy	1.6	eV/f.u.

a = 5.990 Å, b = 5.990 Å, c = 5.990 Å
α = 29.32°, β = 29.32°, γ = 29.32°
Atoms (fractional coordinates):
Si 0.000 0.000 0.000
Rh 0.500 0.500 0.500
N 0.101 0.101 0.101
N 0.899 0.899 0.899



Compound: As2RuSeCl
Source: the Alexandria database
Functional: PBE
Structure: relaxed

Computed properties:
density	5.3	g cm⁻³
M_tot	0.0	μB per formula unit
raw formation energy	2.1	eV/f.u.

a = 4.812 Å, b = 4.812 Å, c = 4.925 Å
α = 90.00°, β = 90.00°, γ = 90.00°
Atoms (fractional coordinates):
As 0.000 0.500 0.000
As 0.500 0.000 0.000
Ru 0.000 0.000 0.000
Se 0.000 0.000 0.500
Cl 0.500 0.500 0.500



Compound: NaLiGe2Cl6
Source: the Alexandria database
Functional: PBE
Structure: relaxed

Computed properties:
density	2.3	g cm⁻³
M_tot	0.0	μB per formula unit
raw formation energy	-12.0	eV/f.u.

a = 7.817 Å, b = 7.817 Å, c = 7.817 Å
α = 53.33°, β = 53.33°, γ = 53.33°
Atoms (fractional coordinates):
Na 0.000 0.000 0.000
Li 0.497 0.497 0.497
Ge 0.172 0.172 0.172
Ge 0.665 0.665 0.665
Cl 0.168 0.354 0.792
Cl 0.300 0.853 0.637
Cl 0.354 0.792 0.168
Cl 0.637 0.300 0.853
Cl 0.792 0.168 0.354
Cl 0.853 0.637 0.300



Compound: BaCo2Re
Source: the Alexandria database
Functional: PBE
Structure: relaxed

Computed properties:
density	10.1	g cm⁻³
ΔE_f	1.4540	eV/atom
M_tot	4.4	μB per formula unit

a = 5.623 Å, b = 5.623 Å, c = 5.623 Å
α = 140.00°, β = 140.00°, γ = 57.85°
Atoms (fractional coordinates):
Ba 0.000 0.000 0.000
Co 0.250 0.750 0.500
Co 0.500 0.500 0.000
Re 0.750 0.250 0.500



Compound: Si2IrAu
Source: the Alexandria database
Functional: PBE
Structure: relaxed

Computed properties:
density	11.4	g cm⁻³
M_tot	0.0	μB per formula unit
raw formation energy	-0.5	eV/f.u.

a = 6.576 Å, b = 6.576 Å, c = 6.576 Å
α = 155.62°, β = 146.27°, γ = 42.05°
Atoms (fractional coordinates):
Si 0.000 0.000 0.000
Si 0.727 0.227 0.500
Ir 0.562 0.562 0.000
Au 0.331 0.831 0.500



Compound: Ca2Dy4Sb3N2
Source: the Alexandria database
Functional: PBE
Structure: relaxed

Computed properties:
density	6.7	g cm⁻³
M_tot	0.0	μB per formula unit
raw formation energy	-13.2	eV/f.u.

a = 12.925 Å, b = 12.925 Å, c = 12.925 Å
α = 158.98°, β = 158.98°, γ = 29.90°
Atoms (fractional coordinates):
Ca 0.193 0.193 0.000
Ca 0.807 0.807 0.000
Dy 0.085 0.585 0.500
Dy 0.415 0.915 0.500
Dy 0.585 0.085 0.500
Dy 0.915 0.415 0.500
Sb 0.324 0.324 0.000
Sb 0.500 0.500 0.000
Sb 0.676 0.676 0.000
N 0.097 0.097 0.000
N 0.903 0.903 0.000



Which value of M_tot does entry 7 give?
0.0 μB per formula unit



Among the records above, which one has the highest density?
Si2IrAu